Entry 1:
# KBiH2 PBE optimized geometry
# Distance to the lowest polymorph of the same formula (eV per atom): 0.097
# Spin magnetization (μB per cell): 0.0
# Energy (eV per formula unit): -10.95
data_KBiH2
_chemical_formula_sum 'K2 Bi2 H4'
_cell_length_a 5.229
_cell_length_b 5.229
_cell_length_c 7.594
_cell_angle_alpha 69.86
_cell_angle_beta 69.86
_cell_angle_gamma 90.00
_space_group_name_H-M_alt 'P 1'
_space_group_IT_number 1
_space_group_name_Hall 'P 1'
loop_
_atom_site_label
_atom_site_type_symbol
_atom_site_fract_x
_atom_site_fract_y
_atom_site_fract_z
_atom_site_occupancy
H1 H 0.761 0.125 0.250 1
H2 H 0.989 0.625 0.250 1
H3 H 0.375 0.239 0.750 1
H4 H 0.875 0.011 0.750 1
K1 K 0.500 0.500 0.000 1
K2 K 0.250 0.750 0.500 1
Bi1 Bi 0.000 0.000 0.000 1
Bi2 Bi 0.750 0.250 0.500 1

Entry 2:
# KYMg2Ir PBE optimized geometry
# Spin magnetization (μB per cell): 0.0
# Energy (eV per formula unit): -20.38
data_KYMg2Ir
_chemical_formula_sum 'K1 Y1 Mg2 Ir1'
_cell_length_a 5.299
_cell_length_b 5.299
_cell_length_c 5.269
_cell_angle_alpha 90.00
_cell_angle_beta 90.00
_cell_angle_gamma 90.00
_space_group_name_H-M_alt 'P 1'
_space_group_IT_number 1
_space_group_name_Hall 'P 1'
loop_
_atom_site_label
_atom_site_type_symbol
_atom_site_fract_x
_atom_site_fract_y
_atom_site_fract_z
_atom_site_occupancy
Y1 Y 0.000 0.000 0.500 1
K1 K 0.500 0.500 0.500 1
Ir1 Ir 0.000 0.000 0.000 1
Mg1 Mg 0.000 0.500 0.000 1
Mg2 Mg 0.500 0.000 0.000 1

Entry 3:
# Na2PuCuS4 PBE optimized geometry
# Spin magnetization (μB per cell): 7.4
# Formation energy (no corrections) (eV/atom): -0.981
# Energy (eV per formula unit): -45.42
data_Na2PuCuS4
_chemical_formula_sum 'Na4 Pu2 Cu2 S8'
_cell_length_a 7.916
_cell_length_b 7.916
_cell_length_c 7.916
_cell_angle_alpha 120.00
_cell_angle_beta 120.00
_cell_angle_gamma 93.71
_space_group_name_H-M_alt 'P 1'
_space_group_IT_number 1
_space_group_name_Hall 'P 1'
loop_
_atom_site_label
_atom_site_type_symbol
_atom_site_fract_x
_atom_site_fract_y
_atom_site_fract_z
_atom_site_occupancy
Na1 Na 0.500 0.000 0.000 1
Na2 Na 0.500 0.000 0.500 1
Na3 Na 0.000 0.000 0.500 1
Na4 Na 0.500 0.500 0.000 1
Pu1 Pu 0.000 0.500 0.000 1
Pu2 Pu 0.000 0.500 0.500 1
Cu1 Cu 0.500 0.500 0.500 1
Cu2 Cu 0.000 0.000 0.000 1
S1 S 0.252 0.723 0.988 1
S2 S 0.777 0.248 0.512 1
S3 S 0.223 0.752 0.488 1
S4 S 0.748 0.277 0.012 1
S5 S 0.764 0.736 0.944 1
S6 S 0.764 0.736 0.556 1
S7 S 0.236 0.264 0.444 1
S8 S 0.236 0.264 0.056 1

Entry 4:
# TiReH2 PBE optimized geometry
# Distance to the lowest polymorph of the same formula (eV per atom): 0.550
# Spin magnetization (μB per cell): 0.0
# Energy (eV per formula unit): -25.15
data_TiReH2
_chemical_formula_sum 'Ti1 Re1 H2'
_cell_length_a 3.729
_cell_length_b 3.729
_cell_length_c 3.729
_cell_angle_alpha 60.00
_cell_angle_beta 60.00
_cell_angle_gamma 60.00
_space_group_name_H-M_alt 'P 1'
_space_group_IT_number 1
_space_group_name_Hall 'P 1'
loop_
_atom_site_label
_atom_site_type_symbol
_atom_site_fract_x
_atom_site_fract_y
_atom_site_fract_z
_atom_site_occupancy
Re1 Re 0.500 0.500 0.500 1
H1 H 0.250 0.250 0.250 1
H2 H 0.750 0.750 0.750 1
Ti1 Ti 0.000 0.000 0.000 1

no.,ρ (g cm⁻³),DOS(E_F) (states/eV/f.u.)
1,4.6,0.00
2,4.1,1.94
3,4.7,9.48
4,10.7,2.67